1.
Tc2HgW | PBE-GGA | optimized geometry

```
4
Lattice="-2.432 0.608 -1.236 1.900 -0.847 -1.867 -2.757 -8.702 1.140" Properties=species:S:1:pos:R:3 pbc="T T T"
Tc -0.064 -0.202 0.026
Tc -1.314 -4.149 0.544
W -0.955 -2.295 -1.266
Hg -2.333 -6.646 -0.696
```

Summary:
Energy of formation   37.3 kJ per mole of atoms
Total moment   0.000 μB/atom
Crystal system   orthorhombic
Fermi-level density of states   1.055 states/eV/atom

=====

2.
IrSe3S | PBE-GGA | optimized geometry

```
5
Lattice="4.879 0.000 0.000 0.000 4.879 0.000 0.000 0.000 4.879" Properties=species:S:1:pos:R:3 pbc="T T T"
Ir 0.000 0.000 0.000
Se 0.000 2.440 0.000
Se 2.440 0.000 0.000
Se 0.000 0.000 2.440
S 2.440 2.440 2.440
```

Summary:
Formation energy (no corrections)   0.805 eV/atom
Total moment   0.000 μB/atom
Crystal system   cubic
Fermi-level density of states   1.457 states/eV/atom

=====

3.
RePb2Br | PBE-GGA | optimized geometry

```
4
Lattice="3.320 0.000 0.000 0.000 5.088 0.000 0.000 0.000 6.389" Properties=species:S:1:pos:R:3 pbc="T T T"
Pb 1.660 0.000 3.195
Pb 0.000 0.000 0.000
Re 1.660 2.544 0.000
Br 0.000 2.544 3.195
```

Summary:
Formation energy (no corrections)   1.024 eV/atom
Total moment   0.833 μB/atom
Crystal system   orthorhombic
Fermi-level density of states   0.586 states/eV/atom

=====

4.
ScCuF5 | PBE-GGA | optimized geometry

```
14
Lattice="5.248 -0.059 1.539 0.485 5.226 1.539 -0.028 -0.025 6.801" Properties=species:S:1:pos:R:3 pbc="T T T"
F 1.977 3.353 8.014
F 2.152 3.511 5.267
F 4.118 4.186 3.266
F 1.129 1.492 3.214
F 4.594 0.624 6.641
F 3.554 1.631 4.614
F 1.111 4.517 3.240
F 1.587 0.956 6.615
F 3.729 1.789 1.866
F 4.576 3.649 6.666
Sc 2.604 2.861 3.240
Sc 3.102 2.281 6.641
Cu 0.000 0.000 0.000
Cu -0.014 -0.013 3.401
```

Summary:
Formation energy (no corrections)   -2.870 eV/atom
Total moment   0.144 μB/atom
Crystal system   monoclinic

=====

5.
SrHgF2 | PBE-GGA | optimized geometry

```
4
Lattice="2.496 -2.939 -2.746 0.514 -4.538 1.244 -2.207 -3.392 -2.456" Properties=species:S:1:pos:R:3 pbc="T T T"
F 0.200 -2.717 -0.989
F 0.601 -8.152 -2.968
Hg 0.401 -5.435 -1.979
Sr 0.000 0.000 0.000
```

Summary:
Formation energy (no corrections)   -2.407 eV/atom
Total moment   0.000 μB/atom
Crystal system   cubic
Fermi-level density of states   0.000 states/eV/atom

=====

6.
PuTh2Pb | PBE-GGA | optimized geometry

```
4
Lattice="4.657 0.000 0.000 0.000 5.011 0.000 0.000 0.000 5.011" Properties=species:S:1:pos:R:3 pbc="T T T"
Pb 2.328 0.000 0.000
Th 0.000 2.505 0.000
Th 0.000 0.000 2.505
Pu 2.328 2.505 2.505
```

Summary:
Energy of formation   -13.2 kJ per mole of atoms
Total moment   1.571 μB/atom
Crystal system   tetragonal
Fermi-level density of states   2.514 states/eV/atom

=====

7.
Zr2ScPt | PBE-GGA | optimized geometry

```
4
Lattice="9.650 -0.059 -0.035 9.120 3.156 -0.035 9.120 1.505 2.775" Properties=species:S:1:pos:R:3 pbc="T T T"
Zr 27.634 4.560 2.680
Zr 14.200 2.343 1.377
Pt 6.972 1.151 0.676
Sc 20.917 3.452 2.029
```

Summary:
Energy of formation   -25.2 kJ per mole of atoms
Total moment   0.000 μB/atom
Crystal system   trigonal
Fermi-level density of states   1.413 states/eV/atom

=====

8.
Tl2AgOs | PBE-GGA | optimized geometry

```
4
Lattice="2.972 -0.018 0.000 -1.354 2.645 0.000 0.000 0.000 11.285" Properties=species:S:1:pos:R:3 pbc="T T T"
Os 0.809 1.314 8.278
Tl 0.809 1.314 3.173
Tl 0.000 0.000 10.808
Ag 0.000 0.000 5.953
```

Summary:
Energy of formation   75.6 kJ per mole of atoms
Total moment   0.120 μB/atom
Crystal system   orthorhombic
Fermi-level density of states   0.754 states/eV/atom

=====

9.
Ac5ThGe4 | PBE-GGA | optimized geometry

```
10
Lattice="4.494 0.000 0.000 0.000 8.775 -0.578 -2.247 -1.839 9.637" Properties=species:S:1:pos:R:3 pbc="T T T"
Ge 2.247 0.207 3.118
Ge 0.000 2.116 -0.129
Ge 0.000 6.730 5.942
Ge 2.247 4.821 9.189
Th 2.247 0.000 0.000
Ac 2.247 0.147 6.342
Ac 2.247 4.597 6.096
Ac 2.247 4.388 -0.289
Ac 0.000 2.339 2.964
Ac 0.000 6.790 2.718
```

Summary:
Energy of formation   -49.4 kJ per mole of atoms
Total moment   0.184 μB/atom
Crystal system   monoclinic
Fermi-level density of states   0.835 states/eV/atom

=====

10.
Te2RhPb | PBE-GGA | optimized geometry

```
8
Lattice="-0.531 4.024 5.307 -1.505 -5.259 3.836 4.919 -1.432 5.784" Properties=species:S:1:pos:R:3 pbc="T T T"
Rh 1.198 -3.654 7.096
Rh -1.018 -0.618 4.572
Te 0.746 1.224 4.879
Te 2.011 -1.795 12.076
Te 2.823 -1.898 8.029
Te 0.186 -2.866 4.870
Pb 0.000 0.000 0.000
Pb 1.685 0.987 7.831
```

Summary:
Formation energy (no corrections)   -0.084 eV/atom
Total moment   0.000 μB/atom
Crystal system   tetragonal
Fermi-level density of states   0.792 states/eV/atom

=====

11.
AgPb | PBE-GGA | optimized geometry

```
12
Lattice="14.025 0.000 0.000 0.000 3.533 0.000 0.000 0.000 6.007" Properties=species:S:1:pos:R:3 pbc="T T T"
Pb 9.724 0.000 4.048
Pb 2.712 1.767 1.045
Pb 7.012 1.767 2.590
Pb 11.313 1.767 1.045
Pb 4.301 0.000 4.048
Pb 0.000 0.000 5.594
Ag 1.824 1.767 3.927
Ag 0.000 0.000 2.496
Ag 5.189 0.000 0.924
Ag 7.012 1.767 5.499
Ag 8.836 0.000 0.924
Ag 12.201 1.767 3.927
```

Summary:
Energy of formation   9.3 kJ per mole of atoms
Total moment   0.000 μB/atom
Crystal system   orthorhombic
Fermi-level density of states   0.235 states/eV/atom

=====

12.
PaPRh3 | PBE-GGA | optimized geometry

```
20
Lattice="3.947 0.000 0.000 0.000 8.230 0.000 0.000 0.000 10.068" Properties=species:S:1:pos:R:3 pbc="T T T"
Rh 2.960 5.121 2.936
Rh 0.987 7.155 1.890
Rh 2.960 3.609 9.233
Rh 2.960 1.006 2.098
Rh 0.987 3.040 3.144
Rh 2.960 7.724 5.869
Rh 2.960 1.075 8.178
Rh 0.987 3.108 7.132
Rh 0.987 7.223 7.970
Rh 0.987 0.505 4.199
Rh 2.960 5.189 6.924
Rh 0.987 4.620 0.835
Pa 2.960 2.572 5.040
Pa 0.987 1.543 0.006
Pa 2.960 6.687 10.062
Pa 0.987 5.657 5.028
P 2.960 3.292 1.495
P 2.960 7.407 3.539
P 0.987 0.823 6.529
P 0.987 4.937 8.573
```

Summary:
Energy of formation   -81.9 kJ per mole of atoms
Total moment   0.000 μB/atom
Crystal system   orthorhombic
Fermi-level density of states   0.818 states/eV/atom